1.
Here is an optimized crystal structure of PmPrNdEr from the Alexandria database. Energies are from GGA-PBE.

Properties
- E_form: 0.124 eV per atom
- Polymorph energy (0 for the lowest one): 108.4 meV per atom
- Space group: F-43m
- DOS(E_F): 2.184 states/eV/atom

Unit cell a=8.1791 b=8.1791 c=8.1791 alpha=90.00 beta=90.00 gamma=90.00
Element x y z (fractional)
Pm (0.0000, 0.0000, 0.0000)
Pm (0.0000, 0.5000, 0.5000)
Pm (0.5000, 0.0000, 0.5000)
Pm (0.5000, 0.5000, 0.0000)
Pr (0.2500, 0.2500, 0.7500)
Pr (0.2500, 0.7500, 0.2500)
Pr (0.7500, 0.2500, 0.2500)
Pr (0.7500, 0.7500, 0.7500)
Nd (0.2500, 0.2500, 0.2500)
Nd (0.2500, 0.7500, 0.7500)
Nd (0.7500, 0.2500, 0.7500)
Nd (0.7500, 0.7500, 0.2500)
Er (0.0000, 0.0000, 0.5000)
Er (0.0000, 0.5000, 0.0000)
Er (0.5000, 0.0000, 0.0000)
Er (0.5000, 0.5000, 0.5000)



2.
Here is an optimized crystal structure of Pa2PbSe6 from the Alexandria database. Energies are from GGA-PBE.

Properties
- Polymorph energy (0 for the lowest one): 89.6 meV per atom
- Space group: C2/m
- ΔE_f (raw): -897 kJ/mol of formula units

Unit cell a=7.4735 b=7.4735 c=9.6334 alpha=119.61 beta=119.61 gamma=42.92
Element x y z (fractional)
Pa (0.1787, 0.1787, 0.1034)
Pa (0.8213, 0.8213, 0.8966)
Pb (0.0000, 0.0000, 0.5000)
Se (0.0251, 0.0251, 0.2011)
Se (0.3028, 0.3028, 0.9400)
Se (0.3524, 0.3524, 0.4083)
Se (0.6476, 0.6476, 0.5917)
Se (0.6972, 0.6972, 0.0600)
Se (0.9749, 0.9749, 0.7989)



3.
Here is an optimized crystal structure of Y2ReRu from the Alexandria database. Energies are from GGA-PBE.

Properties
- E_form: 0.330 eV per atom
- Polymorph energy (0 for the lowest one): 370.3 meV per atom
- Space group: C2/m
- DOS(E_F): 0.838 states/eV/atom

Unit cell a=6.1795 b=8.9138 c=3.1063 alpha=90.00 beta=110.87 gamma=90.00
Element x y z (fractional)
Y (0.2500, 0.2500, 0.0000)
Y (0.2500, 0.7500, 0.0000)
Y (0.7500, 0.2500, 0.0000)
Y (0.7500, 0.7500, 0.0000)
Re (0.0000, 0.0000, 0.5000)
Re (0.5000, 0.5000, 0.5000)
Ru (0.0000, 0.5000, 0.5000)
Ru (0.5000, 0.0000, 0.5000)



4.
Here is an optimized crystal structure of B2C3 from the Alexandria database. Energies are from GGA-PBE.

Properties
- E_form: 0.287 eV per atom
- Polymorph energy (0 for the lowest one): 51.0 meV per atom
- Space group: Imma
- DOS(E_F): 0.175 states/eV/atom

Unit cell a=10.4123 b=10.4123 c=10.4123 alpha=166.30 beta=165.97 gamma=19.65
Element x y z (fractional)
B (0.3236, 0.0736, 0.2500)
B (0.4673, 0.7173, 0.7500)
B (0.5327, 0.2827, 0.2500)
B (0.6764, 0.9264, 0.7500)
C (0.0841, 0.3341, 0.7500)
C (0.1245, 0.8745, 0.2500)
C (0.2697, 0.5197, 0.7500)
C (0.7303, 0.4803, 0.2500)
C (0.8755, 0.1255, 0.7500)
C (0.9159, 0.6659, 0.2500)



5.
Here is an optimized crystal structure of LiIn2Hg from the Alexandria database. Energies are from GGA-PBE.

Properties
- E_form: -0.109 eV per atom
- Space group: R-3m
- DOS(E_F): 0.198 states/eV/atom

Unit cell a=3.3695 b=3.3695 c=28.5338 alpha=90.00 beta=90.00 gamma=120.00
Element x y z (fractional)
Li (0.0000, 0.0000, 0.0000)
Li (0.3333, 0.6667, 0.6667)
Li (0.6667, 0.3333, 0.3333)
In (0.0000, 0.0000, 0.2542)
In (0.0000, 0.0000, 0.7458)
In (0.3333, 0.6667, 0.4125)
In (0.3333, 0.6667, 0.9209)
In (0.6667, 0.3333, 0.0791)
In (0.6667, 0.3333, 0.5875)
Hg (0.0000, 0.0000, 0.5000)
Hg (0.3333, 0.6667, 0.1667)
Hg (0.6667, 0.3333, 0.8333)



6.
Here is an optimized crystal structure of LaScCr3 from the Alexandria database. Energies are from GGA-PBE.

Properties
- E_form: 1.559 eV per atom
- Polymorph energy (0 for the lowest one): 441.7 meV per atom
- Space group: Pm-3m
- DOS(E_F): 0.730 states/eV/atom

Unit cell a=4.7540 b=4.7540 c=4.7540 alpha=90.00 beta=90.00 gamma=90.00
Element x y z (fractional)
La (0.0000, 0.0000, 0.0000)
Sc (0.5000, 0.5000, 0.5000)
Cr (0.0000, 0.0000, 0.5000)
Cr (0.0000, 0.5000, 0.0000)
Cr (0.5000, 0.0000, 0.0000)



Please write out number 4 again, unchanged.
Here is an optimized crystal structure of B2C3 from the Alexandria database. Energies are from GGA-PBE.

Properties
- E_form: 0.287 eV per atom
- Polymorph energy (0 for the lowest one): 51.0 meV per atom
- Space group: Imma
- DOS(E_F): 0.175 states/eV/atom

Unit cell a=10.4123 b=10.4123 c=10.4123 alpha=166.30 beta=165.97 gamma=19.65
Element x y z (fractional)
B (0.3236, 0.0736, 0.2500)
B (0.4673, 0.7173, 0.7500)
B (0.5327, 0.2827, 0.2500)
B (0.6764, 0.9264, 0.7500)
C (0.0841, 0.3341, 0.7500)
C (0.1245, 0.8745, 0.2500)
C (0.2697, 0.5197, 0.7500)
C (0.7303, 0.4803, 0.2500)
C (0.8755, 0.1255, 0.7500)
C (0.9159, 0.6659, 0.2500)



- What is the formula in the sixth record?
  LaScCr3